# Pr2EuPb

Crystalline Pr2EuPb at its relaxed geometry (GGA-PBE, Alexandria).

```
Pr2EuPb
1.0
-1.736 -2.240 -3.285
0.162 -3.621 2.384
-6.527 1.366 2.519
Pb Eu Pr
1 1 2
direct
0.500 0.500 0.000
0.500 0.500 0.500
0.000 0.000 0.776
0.000 0.000 0.224
```

Values from the calculation:
crystal system = tetragonal
formation energy = -0.236 eV per atom
energy above the most stable polymorph in this dataset = 85 meV per atom
SG = P4/mmm